(1)
ZrMn2Ir2: relaxed, PBE.

abc: 7.3580 7.3580 2.7142
angles: 90.00 90.00 90.00
Last column: nearest neighbours and their distance in Å.
Space group P4/mbm (No. 127)
Asymmetric unit:
Zr 0.0000 0.0000 0.0000 x2  2 Zr 2.71, 4 Ir 2.90
Mn 0.1699 0.3301 0.5000 x4  6 Ir 2.50-2.60, 2 Mn 2.71
Ir 0.1279 0.6279 0.0000 x4  6 Mn 2.50-2.60, 3 Ir 2.66-2.71

Its volume is 14.7 A^3/atom. For the spin magnetization, the calculation gives 3.05 μB/cell. As for the density of states at the Fermi level: 10.77 states/eV per cell. The calculation puts the formation energy at -0.169 eV per atom.

(2)
Rb3Zr3CoSe8: relaxed, PBE.

abc: 13.4939 7.8011 9.3314
angles: 90.00 118.79 90.00
Last column: nearest neighbours and their distance in Å.
Space group C2/m (No. 12)
Asymmetric unit:
Rb 0.0000 0.0000 0.0000 x2  6 Se 3.37-3.42
Rb 0.2500 0.2500 0.0000 x4  6 Se 3.37-3.43
Zr 0.0000 0.5000 0.5000 x2  6 Se 2.71-2.75
Zr 0.2500 0.2500 0.5000 x4  6 Se 2.71-2.75
Co 0.0000 0.0000 0.5000 x2  6 Se 2.67-2.68
Se 0.0214 0.2470 0.3171 x8  1 Co 2.68, 2 Zr 2.71
Se 0.2250 0.0000 0.6822 x4  1 Co 2.67, 2 Zr 2.71
Se 0.2314 0.5000 0.6938 x4  3 Zr 2.75

The value obtained for the uncorrected formation energy is -1129 meV per atom. Its volume is 28.7 A^3/atom. For the spin magnetization, the calculation gives 4.83 μB/cell. As for the density of states at the Fermi level: 19.79 states/eV per cell.

(3)
La2RhI: relaxed, PBE.

abc: 7.5882 7.5882 7.5882
angles: 90.00 90.00 90.00
Last column: nearest neighbours and their distance in Å.
Space group Fm-3m (No. 225)
Asymmetric unit:
La 0.2500 0.2500 0.2500 x8  4 Rh 3.29, 4 I 3.29
Rh 0.0000 0.0000 0.0000 x4  8 La 3.29
I 0.0000 0.0000 0.5000 x4  8 La 3.29

The value obtained for the uncorrected formation energy is -553 meV per atom. Its volume is 27.3 A^3/atom. For the spin magnetization, the calculation gives 0.00 μB/cell. As for the density of states at the Fermi level: 21.44 states/eV per cell.

(4)
Ho5MgAl4: relaxed, PBE.

abc: 3.6089 3.6089 18.2131
angles: 90.00 90.00 90.00
Last column: nearest neighbours and their distance in Å.
Space group P4/mmm (No. 123)
Asymmetric unit:
Ho 0.0000 0.0000 0.0000 x1  8 Al 3.10
Ho 0.0000 0.0000 0.1947 x2  8 Al 3.11-3.13
Ho 0.0000 0.0000 0.3902 x2  4 Al 3.09, 4 Mg 3.24
Mg 0.5000 0.5000 0.5000 x1  8 Ho 3.24, 4 Mg 3.61
Al 0.5000 0.5000 0.0971 x2  8 Ho 3.10-3.11
Al 0.5000 0.5000 0.2942 x2  8 Ho 3.09-3.13

Its volume is 23.7 A^3/atom. For the spin magnetization, the calculation gives 0.00 μB/cell. As for the density of states at the Fermi level: 5.29 states/eV per cell. The calculation puts the formation energy at -0.336 eV per atom.